The following is a PBE-GGA calculation of Gd2HoTm after structural relaxation, from Alexandria via LeMat-Bulk.

a = 3.5421 Å, b = 3.5421 Å, c = 11.7154 Å
α = 81.31°, β = 81.31°, γ = 60.00°
Last column: nearest neighbours and their distance in Å.
Fractional coordinates of all 4 atoms:
Gd: 0.7496 0.7496 0.7511  3 Tm 3.52, 6 Gd 3.54, 3 Ho 3.55
Tm: 0.0000 0.0000 0.0000  6 Gd 3.52, 6 Tm 3.54
Ho: 0.5000 0.5000 0.5000  6 Ho 3.54, 6 Gd 3.55
Gd: 0.2504 0.2504 0.2489  3 Tm 3.52, 6 Gd 3.54, 3 Ho 3.55

Polymorph energy (0 for the lowest one) (meV per atom): 0